(1)
4
Lattice="-2.1375 2.1109 -2.8644 1.1908 -0.1070 -3.9750 -2.2910 -2.0367 -2.7988" Properties=species:S:1:pos:R:3 comment="PBE-GGA MnCuNiIr, relaxed" magnetic_moment_mub_per_cell=3.282 delta_e_f_ev_per_atom=0.03 sg="No. 216" pbc="T T T"
Ni -1.6189 -0.0164 -4.8191
Ir 0.0000 0.0000 0.0000
Cu -0.8095 -0.0082 -2.4096
Mn -2.4284 -0.0246 -7.2287



(2)
28
Lattice="-4.2651 5.0353 5.2488 4.2651 -5.0353 5.2488 4.2651 5.0353 -5.2488" Properties=species:S:1:pos:R:3 comment="PBE-GGA HoNp2O11, relaxed" magnetic_moment_mub_per_cell=6.166 e_form_raw_ev_per_fu=-27.33 sg="No. 72" pbc="T T T"
Ho 4.2651 0.0000 2.6244
Ho 0.0000 5.0353 2.6244
Np 1.8867 2.3359 0.0000
Np 2.3785 2.6994 5.2488
Np -1.8867 2.3359 5.2488
Np 6.1518 2.6994 0.0000
O 2.6185 1.1936 1.3174
O 1.6466 3.8417 3.9314
O 5.9118 -1.1936 1.3174
O 1.6466 6.2289 -1.3174
O -1.6466 6.2289 3.9314
O 2.6185 -1.1936 6.5661
O 2.6185 -1.1936 3.9314
O 1.6466 6.2289 1.3174
O 0.0000 0.0000 0.0000
O 0.0000 0.0000 5.2488
O 3.9214 3.4912 0.0000
O 0.3438 1.5441 5.2488
O 0.3438 8.5266 0.0000
O 3.9214 -3.4912 5.2488
O 1.1555 3.4796 1.3227
O 3.1097 1.5557 3.9260
O 3.1097 1.5557 6.5715
O -1.1555 3.4796 3.9260
O 1.1554 3.4796 -1.3227
O 5.4206 1.5557 1.3227
O 5.4206 1.5557 -1.3227
O -1.1554 3.4796 6.5715



(3)
4
Lattice="4.1275 0.0000 0.0000 2.0638 3.5745 0.0000 2.0638 1.1915 7.9921" Properties=species:S:1:pos:R:3 comment="PBE-GGA Ce2SeI, relaxed" magnetic_moment_mub_per_cell=2.767 polymorph_energy_mev_per_atom=0 e_form_raw_ev_per_fu=-5.18 sg="No. 160" pbc="T T T"
Ce 2.0638 1.1915 6.2975
Ce 2.0638 1.1915 1.6817
Se 6.1913 3.5745 7.9792
I 4.1275 2.3830 4.0217



(4)
8
Lattice="-2.7493 1.2278 -7.9912 -3.4374 -7.8172 -0.0184 -6.3831 -1.8513 -2.6512" Properties=species:S:1:pos:R:3 comment="PBE-GGA RbScHg2, relaxed" magnetic_moment_mub_per_cell=0.000 delta_e_f_ev_per_atom=0.14 polymorph_energy_mev_per_atom=322 sg="No. 122" pbc="T T T"
Sc -3.0934 -3.2947 -4.0048
Sc -6.4569 -6.4816 -3.3372
Hg -3.5812 -0.7452 -5.1870
Hg -4.2504 -5.1225 -2.1458
Hg -7.3106 -4.3218 -4.9931
Hg -9.9974 -6.6920 -8.9957
Rb 0.0000 0.0000 0.0000
Rb -6.1129 -1.9592 -7.3236



(5)
20
Lattice="-7.0987 -4.7742 -0.8101 5.2664 -5.5718 3.8808 -2.1820 5.0402 6.6087" Properties=species:S:1:pos:R:3 comment="PBE-GGA Tb3Ho6Al, relaxed" magnetic_moment_mub_per_cell=0.013 delta_e_f_ev_per_atom=0.04 sg="No. 148" pbc="T T T"
Tb 0.5314 -2.0196 9.2952
Tb -2.3723 -7.8063 4.9190
Tb 2.7481 -3.7605 3.1491
Tb -6.7623 -1.5453 6.5303
Tb -1.6420 2.5005 4.7604
Tb -4.5457 -3.2862 0.3842
Ho -2.7685 -0.3621 2.2964
Ho -4.4994 -4.7487 6.1406
Ho -0.1389 -5.3220 4.1544
Ho -3.2195 -2.1564 8.0924
Ho -0.7695 -0.1895 6.7063
Ho 1.1013 -2.8553 6.0149
Ho -5.1155 -2.4505 3.6645
Ho -3.2448 -5.1163 2.9731
Ho -0.7948 -3.1494 1.5871
Ho -3.8754 0.0162 5.5250
Ho 0.4851 -0.5571 3.5389
Ho -1.2458 -4.9437 7.3830
Al 0.0000 0.0000 0.0000
Al -2.0071 -2.6529 4.8397



(6)
5
Lattice="4.6700 0.0000 0.0000 0.0000 4.6700 0.0000 0.0000 0.0000 4.9040" Properties=species:S:1:pos:R:3 comment="PBE-GGA Se2IBrO, relaxed" magnetic_moment_mub_per_cell=0.000 polymorph_energy_mev_per_atom=0 e_form_raw_ev_per_fu=3.41 sg="No. 123" pbc="T T T"
I 2.3350 2.3350 2.4520
O 0.0000 0.0000 0.0000
Se 0.0000 2.3350 0.0000
Se 2.3350 0.0000 0.0000
Br 0.0000 0.0000 2.4520